[1]
Compound: PtS2O8
Source: Alexandria
Functional: PBE-GGA
Structure: optimized geometry

M_tot	0.00	μB per cell
formation energy from raw total energies	-0.9459	eV/atom
uncorrected energy	-5.8515	eV per atom

Geometry as POSCAR:
```
PtS2O8
1.0
4.603 0.121 0.103
0.743 6.263 0.415
0.743 1.381 6.123
O Pt S
8 1 2
Direct
0.235 0.956 0.267
0.318 0.833 0.833
0.765 0.044 0.733
0.756 0.670 0.670
0.765 0.733 0.044
0.235 0.267 0.956
0.244 0.330 0.330
0.682 0.167 0.167
0.000 0.000 0.000
0.654 0.811 0.811
0.346 0.189 0.189
```

[2]
Compound: Ac2TmTl2
Source: Alexandria
Functional: PBE-GGA
Structure: optimized geometry

M_tot	0.00	μB per cell
uncorrected energy	-3.7675	eV per atom

Geometry as POSCAR:
```
Ac2TmTl2
1.0
4.914 0.000 1.157
2.353 6.532 1.021
0.010 -0.173 10.969
Tm Tl Ac
2 4 4
Direct
0.213 0.943 0.631
0.787 0.057 0.369
0.138 0.300 0.424
0.974 0.166 0.887
0.862 0.700 0.576
0.026 0.834 0.113
0.518 0.644 0.321
0.317 0.267 0.100
0.683 0.733 0.900
0.482 0.356 0.679
```

Question: Among the records above, which one has the highest uncorrected energy?
Answer: Ac2TmTl2